! Pm3Dy2Pd2, optimized geometry, DFT GGA-PBE; values from VASP
&SYSTEM
  ibrav = 0, nat = 7, ntyp = 3
/
ATOMIC_SPECIES
Pd 106.42 Pd.upf
Pm 145.00 Pm.upf
Dy 162.50 Dy.upf
ATOMIC_POSITIONS crystal
Pd 0.172 0.344 0.225
Pd 0.828 0.656 0.775
Pm 0.386 0.772 0.560
Pm 0.500 0.000 0.000
Pm 0.614 0.228 0.440
Dy 0.160 0.320 0.812
Dy 0.840 0.680 0.188
CELL_PARAMETERS angstrom
3.814 0.000 0.000
-1.907 6.186 -0.371
0.000 -3.307 8.497
! Formation energy, meV per atom: -468.9
! Volume, Å³/atom: 27.96
! Space group: C2/m (12)

***

! Pm2DyPd9, optimized geometry, DFT GGA-PBE; values from VASP
&SYSTEM
  ibrav = 0, nat = 12, ntyp = 3
/
ATOMIC_SPECIES
Pd 106.42 Pd.upf
Pm 145.00 Pm.upf
Dy 162.50 Dy.upf
ATOMIC_POSITIONS crystal
Pd 0.000 0.500 0.163
Pd 0.000 0.500 0.500
Pd 0.500 0.500 0.668
Pd 0.500 0.500 0.332
Pd 0.000 0.500 0.837
Pd 0.500 0.500 0.000
Pd 0.500 0.000 0.837
Pd 0.500 0.000 0.500
Pd 0.500 0.000 0.163
Pm 0.000 0.000 0.669
Pm 0.000 0.000 0.331
Dy 0.000 0.000 0.000
CELL_PARAMETERS angstrom
-3.677 -0.120 -1.960
1.946 -0.775 -3.604
-0.780 -12.252 2.212
! Formation energy, meV per atom: -816.2
! Volume, Å³/atom: 18.07
! Space group: P4/mmm (123)

***

! Pm2DyPd, optimized geometry, DFT GGA-PBE; values from VASP
&SYSTEM
  ibrav = 0, nat = 4, ntyp = 3
/
ATOMIC_SPECIES
Pd 106.42 Pd.upf
Dy 162.50 Dy.upf
Pm 145.00 Pm.upf
ATOMIC_POSITIONS crystal
Pd 0.500 0.500 0.000
Dy 0.500 0.500 0.500
Pm 0.000 0.000 0.797
Pm 0.000 0.000 0.203
CELL_PARAMETERS angstrom
-1.222 -3.251 -1.208
3.045 -0.393 -2.023
3.803 -3.832 6.469
! Formation energy, meV per atom: -334.3
! Volume, Å³/atom: 28.48
! Space group: P4/mmm (123)
! Offset from the most stable computed form, meV per atom: 97

***

! Pm2DyPd, optimized geometry, DFT GGA-PBE; values from VASP
&SYSTEM
  ibrav = 0, nat = 4, ntyp = 3
/
ATOMIC_SPECIES
Pm 145.00 Pm.upf
Pd 106.42 Pd.upf
Dy 162.50 Dy.upf
ATOMIC_POSITIONS crystal
Pm 0.267 0.267 0.199
Pm 0.066 0.066 0.801
Pd 0.667 0.667 0.000
Dy 0.500 0.500 0.500
CELL_PARAMETERS angstrom
3.820 0.000 0.000
1.910 3.308 0.000
1.910 1.103 9.575
! Formation energy, meV per atom: -245.8
! Volume, Å³/atom: 30.25
! Space group: R3m (160)
! Offset from the most stable computed form, meV per atom: 185